[1]
## TiFe3Ru (GGA-PBEsol)

Data for a relaxed TiFe3Ru crystal.

Output
Raw total energy (eV per cell): -38.6
Theoretical density (g/cm3): 7.42

a b c (Å): 4.137 4.137 4.137
angles (deg): 90.00 90.00 90.00
Space group Pm-3m (No. 221)
Unique sites:
Ti 0.000 0.000 0.000
Fe 0.000 0.000 0.500
Ru 0.500 0.500 0.500


[2]
## Tl2FeRu (GGA-PBEsol)

Data for a relaxed Tl2FeRu crystal.

Output
Raw total energy (eV per cell): -21.8
Theoretical density (g/cm3): 13.90

a b c (Å): 4.584 4.584 3.216
angles (deg): 90.00 90.00 90.00
Space group P4/mmm (No. 123)
Unique sites:
Tl 0.000 0.500 0.000
Fe 0.000 0.000 0.500
Ru 0.500 0.500 0.500


[3]
## Tl2FeRu (GGA-PBEsol)

Data for a relaxed Tl2FeRu crystal.

Output
Raw total energy (eV per cell): -44.2
Theoretical density (g/cm3): 13.21

a b c (Å): 10.405 3.083 4.685
angles (deg): 90.00 108.89 90.00
Space group Cm (No. 8)
Unique sites:
Tl 0.000 0.000 0.000
Tl 0.215 0.000 0.651
Fe 0.450 0.000 0.460
Ru 0.262 0.500 0.185


[4]
## VFeRu2 (GGA-PBEsol)

Data for a relaxed VFeRu2 crystal.

Output
Raw total energy (eV per cell): -156.6
Theoretical density (g/cm3): 10.00

a b c (Å): 5.898 5.898 5.898
angles (deg): 90.00 90.00 90.00
Space group Fm-3m (No. 225)
Unique sites:
V 0.000 0.000 0.000
Fe 0.000 0.000 0.500
Ru 0.250 0.250 0.250


[5]
## Fe2RuW (GGA-PBEsol)

Data for a relaxed Fe2RuW crystal.

Output
Raw total energy (eV per cell): -82.9
Theoretical density (g/cm3): 13.46

a b c (Å): 5.214 7.127 2.634
angles (deg): 90.00 90.00 90.00
Space group Cmmm (No. 65)
Unique sites:
Fe 0.250 0.250 0.000
Ru 0.000 0.000 0.500
W 0.000 0.500 0.500


[6]
## FeRu2W (GGA-PBEsol)

Data for a relaxed FeRu2W crystal.

Output
Raw total energy (eV per cell): -84.2
Theoretical density (g/cm3): 13.65

a b c (Å): 2.846 4.337 8.711
angles (deg): 90.00 90.00 90.00
Space group Immm (No. 71)
Unique sites:
Fe 0.000 0.000 0.000
Ru 0.000 0.500 0.272
W 0.000 0.000 0.500


Across the entries above, energy of formation from the pure elements takes the values 1.3607 0.6517 0.5770 -0.0518 0.1142 0.2552 eV/atom, respectively.